[1]
Material: K2BaTl
Method: DFT, PBE
State: relaxed

Cell lengths 6.329, 8.160, 4.389 Å; angles 75.67, 86.82, 111.89 degrees
Fractional positions:
Ba  0.500  0.500  0.000
K  0.000  0.000  0.000
K  0.500  0.000  0.500
Tl  0.000  0.500  0.500

Properties
Calculated formation energy: 0.025 eV/atom
ΔE to the lowest computed polymorph: 139.6 meV/atom

=====

[2]
Material: K3BaTl
Method: DFT, PBE
State: relaxed

Cell lengths 6.852, 6.852, 6.852 Å; angles 90.00, 90.00, 90.00 degrees
Fractional positions:
K  0.000  0.500  0.000
K  0.000  0.000  0.500
K  0.500  0.000  0.000
Tl  0.000  0.000  0.000
Ba  0.500  0.500  0.500

Properties
Calculated formation energy: 0.156 eV/atom
ΔE to the lowest computed polymorph: 0.0 meV/atom

=====

[3]
Material: K2BaTl
Method: DFT, PBE
State: relaxed

Cell lengths 6.767, 5.399, 5.399 Å; angles 90.00, 90.00, 90.00 degrees
Last column: magnetic moment on the atom in μB.
Fractional positions:
Ba  0.500  0.000  0.500  0.14
K  0.000  0.000  0.000  0.02
K  0.000  0.500  0.500  0.02
Tl  0.500  0.500  0.000  0.11

Properties
Calculated formation energy: 0.005 eV/atom
ΔE to the lowest computed polymorph: 119.5 meV/atom

=====

[4]
Material: KBa2Tl
Method: DFT, PBE
State: relaxed

Cell lengths 6.295, 6.295, 6.295 Å; angles 60.00, 60.00, 60.00 degrees
Fractional positions:
Ba  0.000  0.000  0.000
Ba  0.250  0.250  0.250
K  0.500  0.500  0.500
Tl  0.750  0.750  0.750

Properties
Calculated formation energy: -0.008 eV/atom